! Na4MnO4 | Alexandria | SCAN | PBEsol geometry; values from VASP
&SYSTEM
  ibrav = 0, nat = 18, ntyp = 3
/
ATOMIC_SPECIES
Na 22.99 Na.upf
Mn 54.94 Mn.upf
O 16.00 O.upf
CELL_PARAMETERS angstrom
5.5653 0.0000 0.0000
2.1559 5.4022 0.0000
2.7742 -0.7331 7.9662
ATOMIC_POSITIONS crystal
Na 0.0496 0.2252 0.4333
Na 0.2100 0.2467 0.0242
Na 0.2506 0.7337 0.1689
Na 0.4277 0.2703 0.6161
Na 0.5723 0.7297 0.3839
Na 0.7494 0.2663 0.8311
Na 0.7900 0.7533 0.9758
Na 0.9504 0.7748 0.5667
Mn 0.3985 0.7797 0.7526
Mn 0.6015 0.2203 0.2474
O 0.1887 0.9921 0.6493
O 0.2581 0.6034 0.9064
O 0.3230 0.4738 0.3811
O 0.4513 0.0212 0.1979
O 0.5487 0.9788 0.8021
O 0.6770 0.5262 0.6189
O 0.7419 0.3966 0.0936
O 0.8113 0.0079 0.3507
! * total moment: 6.00 μB per cell
! * energy relative to the lowest polymorph listed for this composition: 0.000 eV per atom
! * calculated volume: 13.306 A^3/atom
! * space group: P-1
! * raw total energy: -8.488 eV per atom
! * uncorrected formation energy: -1.817 eV per atom



! BaIrBr2 | Alexandria | SCAN | PBEsol geometry; values from VASP
&SYSTEM
  ibrav = 0, nat = 4, ntyp = 3
/
ATOMIC_SPECIES
Ba 137.33 Ba.upf
Ir 192.22 Ir.upf
Br 79.90 Br.upf
CELL_PARAMETERS angstrom
2.8691 1.6565 3.7479
-2.8691 1.6565 3.7479
0.0000 -3.3129 3.7479
ATOMIC_POSITIONS crystal
Ba 0.0000 0.0000 0.0000
Ir 0.5000 0.5000 0.5000
Br 0.2881 0.2881 0.2881
Br 0.7119 0.7119 0.7119
! * total moment: 1.00 μB per cell
! * energy relative to the lowest polymorph listed for this composition: 0.000 eV per atom
! * calculated volume: 26.719 A^3/atom
! * space group: R-3m
! * raw total energy: -37.994 eV per atom
! * uncorrected formation energy: -0.602 eV per atom



! CdCu2Au | Alexandria | SCAN | PBEsol geometry; values from VASP
&SYSTEM
  ibrav = 0, nat = 4, ntyp = 3
/
ATOMIC_SPECIES
Cd 112.41 Cd.upf
Cu 63.55 Cu.upf
Au 196.97 Au.upf
CELL_PARAMETERS angstrom
2.8556 0.0000 0.0000
0.0000 4.1177 0.0000
-1.3813 0.0000 5.0329
ATOMIC_POSITIONS crystal
Cd 0.0000 0.0000 0.0000
Cu 0.5996 0.5000 0.2098
Cu 0.7362 0.0000 0.4700
Au 0.3318 0.5000 0.6711
! * total moment: 0.00 μB per cell
! * calculated volume: 14.795 A^3/atom
! * space group: Pm
! * raw total energy: -32.518 eV per atom
! * energy relative to the elements: -0.026 eV per atom



! LaCdOs2 | Alexandria | SCAN | PBEsol geometry; values from VASP
&SYSTEM
  ibrav = 0, nat = 4, ntyp = 3
/
ATOMIC_SPECIES
La 138.91 La.upf
Cd 112.41 Cd.upf
Os 190.23 Os.upf
CELL_PARAMETERS angstrom
4.2529 0.0000 0.0000
0.0000 4.2529 0.0000
0.0000 0.0000 4.1099
ATOMIC_POSITIONS crystal
La 0.0000 0.0000 0.0000
Cd 0.5000 0.5000 0.0000
Os 0.0000 0.5000 0.5000
Os 0.5000 0.0000 0.5000
! * total moment: 0.00 μB per cell
! * calculated volume: 18.584 A^3/atom
! * space group: P4/mmm
! * raw total energy: -53.695 eV per atom
! * energy relative to the elements: 0.625 eV per atom